(1)
Entry from Alexandria: a relaxed Ru2C crystal (GGA-PBEsol).

Its theoretical density is 9.965 g/cm3.

The structure belongs to space group Cmmm (No. 65); the cell edges are 4.986, 10.143 and 2.822 Å and the angles 90.00°, 90.00° and 90.00°. Symmetry generates all atoms from Ru at (0.000, 0.000, 0.000), Ru at (0.000, 0.223, 0.500), Ru at (0.000, 0.500, 0.500) and C at (0.000, 0.351, 0.000).

(2)
Entry from Alexandria: a relaxed Ru2C crystal (GGA-PBEsol).

Its theoretical density is 10.590 g/cm3.

The structure belongs to space group P6_3/mmc (No. 194); the cell edges are 3.7055, 3.7055 and 5.6478 Å and the angles 90.00°, 90.00° and 120.00°. Symmetry generates all atoms from Ru at (0.0000, 0.0000, 0.0000), Ru at (0.3333, 0.6667, 0.2500) and C at (0.3333, 0.6667, 0.7500).

(3)
Entry from Alexandria: a relaxed Ru2C crystal (GGA-PBEsol).

Its theoretical density is 10.631 g/cm3.

The structure belongs to space group Pnnm (No. 58); the cell edges are 4.755, 4.912 and 2.865 Å and the angles 90.00°, 90.00° and 90.00°. Symmetry generates all atoms from Ru at (0.146, 0.238, 0.000) and C at (0.000, 0.500, 0.500).

(4)
Entry from Alexandria: a relaxed Ru2C crystal (GGA-PBEsol).

Its theoretical density is 8.621 g/cm3.

The structure belongs to space group Fd-3m (No. 227, origin choice 2); the cell edges are 6.910, 6.910 and 6.910 Å and the angles 90.00°, 90.00° and 90.00°. Symmetry generates all atoms from Ru at (0.000, 0.000, 0.000) and C at (0.125, 0.125, 0.625).

Energy comparison, zero being the most stable, in kJ/mol of atoms: (1) 57.5; (2) 87.3; (3) 0.0; (4) 227.9.

(1)
Entry from Alexandria: a relaxed RuC2 crystal (GGA-PBEsol).

Its theoretical density is 7.994 g/cm3.

The structure belongs to space group P4/nmm (No. 129, origin choice 2); the cell edges are 2.967, 2.967 and 5.904 Å and the angles 90.00°, 90.00° and 90.00°. Symmetry generates all atoms from Ru at (0.250, 0.250, 0.243), C at (0.250, 0.250, 0.613) and C at (0.250, 0.750, 0.000).

(2)
Entry from Alexandria: a relaxed RuC2 crystal (GGA-PBEsol).

Its theoretical density is 5.245 g/cm3.

The structure belongs to space group P6/mmm (No. 191); the cell edges are 2.4790, 2.4790 and 7.4414 Å and the angles 90.00°, 90.00° and 120.00°. Symmetry generates all atoms from Ru at (0.0000, 0.0000, 0.0000) and C at (0.3333, 0.6667, 0.5000).

(3)
Entry from Alexandria: a relaxed RuC2 crystal (GGA-PBEsol).

Its theoretical density is 6.210 g/cm3.

The structure belongs to space group P4_2/mnm (No. 136); the cell edges are 4.968, 4.968 and 2.711 Å and the angles 90.00°, 90.00° and 90.00°. Symmetry generates all atoms from Ru at (0.000, 0.000, 0.000) and C at (0.212, 0.212, 0.500).

(4)
Entry from Alexandria: a relaxed RuC2 crystal (GGA-PBEsol).

Its theoretical density is 7.775 g/cm3.

The structure belongs to space group P6_3/mmc (No. 194); the cell edges are 2.5372, 2.5372 and 9.5842 Å and the angles 90.00°, 90.00° and 120.00°. Symmetry generates all atoms from Ru at (0.3333, 0.6667, 0.2500) and C at (0.3333, 0.6667, 0.0125).

Energy comparison, zero being the most stable, in kJ/mol of atoms: (1) 93.8; (2) 17.7; (3) 85.3; (4) 0.0.

(1)
Entry from Alexandria: a relaxed ScRu3C crystal (GGA-PBEsol).

Its theoretical density is 9.121 g/cm3.

The structure belongs to space group Pm-3m (No. 221); the cell edges are 4.033, 4.033 and 4.033 Å and the angles 90.00°, 90.00° and 90.00°. Symmetry generates all atoms from Sc at (0.000, 0.000, 0.000), Ru at (0.000, 0.500, 0.500) and C at (0.500, 0.500, 0.500).

(2)
Entry from Alexandria: a relaxed ScRu3C crystal (GGA-PBEsol).

Its theoretical density is 6.633 g/cm3.

The structure belongs to space group Pm-3m (No. 221); the cell edges are 4.484, 4.484 and 4.484 Å and the angles 90.00°, 90.00° and 90.00°. Symmetry generates all atoms from Sc at (0.000, 0.000, 0.000), Ru at (0.000, 0.000, 0.500) and C at (0.500, 0.500, 0.500).

Energy comparison, zero being the most stable, in kJ/mol of atoms: (1) 0.0; (2) 326.8.

(1)
Entry from Alexandria: a relaxed SbCS3 crystal (GGA-PBEsol).

Its theoretical density is 3.185 g/cm3.

The structure belongs to space group Pm-3m (No. 221); the cell edges are 4.931, 4.931 and 4.931 Å and the angles 90.00°, 90.00° and 90.00°. Symmetry generates all atoms from Sb at (0.000, 0.000, 0.000), C at (0.500, 0.500, 0.500) and S at (0.000, 0.000, 0.500).

(2)
Entry from Alexandria: a relaxed SbCS3 crystal (GGA-PBEsol).

Its theoretical density is 5.202 g/cm3.

The structure belongs to space group Pm-3m (No. 221); the cell edges are 4.187, 4.187 and 4.187 Å and the angles 90.00°, 90.00° and 90.00°. Symmetry generates all atoms from Sb at (0.000, 0.000, 0.000), C at (0.500, 0.500, 0.500) and S at (0.000, 0.500, 0.500).

Energy comparison, zero being the most stable, in kJ/mol of atoms: (1) 112.9; (2) 0.0.

(1)
Entry from Alexandria: a relaxed SnCS2 crystal (GGA-PBEsol).

Its theoretical density is 3.923 g/cm3.

The structure belongs to space group R-3m (No. 166, hexagonal axes); the cell edges are 3.5196, 3.5196 and 23.0627 Å and the angles 90.00°, 90.00° and 120.00°. Symmetry generates all atoms from Sn at (0.0000, 0.0000, 0.0000), C at (0.0000, 0.0000, 0.5000) and S at (0.0000, 0.0000, 0.4317).

(2)
Entry from Alexandria: a relaxed SnCS2 crystal (GGA-PBEsol).

Its theoretical density is 4.388 g/cm3.

The structure belongs to space group I-42d (No. 122); the cell edges are 5.814, 5.814 and 8.727 Å and the angles 90.00°, 90.00° and 90.00°. Symmetry generates all atoms from Sn at (0.000, 0.000, 0.000), C at (0.000, 0.000, 0.500) and S at (0.107, 0.250, 0.625).

Energy comparison, zero being the most stable, in kJ/mol of atoms: (1) 0.0; (2) 32.2.

(1)
Entry from Alexandria: a relaxed Sr2ZrCS crystal (GGA-PBEsol).

Its theoretical density is 2.945 g/cm3.

The structure belongs to space group P4/mmm (No. 123); the cell edges are 6.076, 6.076 and 4.743 Å and the angles 90.00°, 90.00° and 90.00°. Symmetry generates all atoms from Sr at (0.000, 0.500, 0.000), Zr at (0.000, 0.000, 0.000), C at (0.500, 0.500, 0.500) and S at (0.000, 0.000, 0.500).

(2)
Entry from Alexandria: a relaxed Sr2ZrCS crystal (GGA-PBEsol).

Its theoretical density is 3.665 g/cm3.

The structure belongs to space group P4/mmm (No. 123); the cell edges are 5.427, 5.427 and 4.776 Å and the angles 90.00°, 90.00° and 90.00°. Symmetry generates all atoms from Sr at (0.000, 0.500, 0.000), Zr at (0.000, 0.000, 0.500), C at (0.500, 0.500, 0.500) and S at (0.000, 0.000, 0.000).

Energy comparison, zero being the most stable, in kJ/mol of atoms: (1) 55.6; (2) 0.0.